Computed, not measured: TbPmDyHo3 after structural relaxation at the GGA-PBE level of DFT. Values from VASP.

Quantum ESPRESSO input file:
```
&SYSTEM
  ibrav = 0, nat = 12, ntyp = 4
/
ATOMIC_SPECIES
Tb 158.93 Tb.upf
Pm 145.00 Pm.upf
Dy 162.50 Dy.upf
Ho 164.93 Ho.upf
CELL_PARAMETERS angstrom
5.615 0.000 0.000
-2.808 9.724 1.647
0.000 -1.173 6.886
ATOMIC_POSITIONS angstrom
Tb 2.808 2.365 3.644
Tb 0.000 6.186 4.889
Pm 0.000 5.760 7.845
Pm 2.808 2.791 0.688
Dy 0.000 0.765 2.000
Dy 2.808 7.786 6.533
Ho 2.808 6.236 2.928
Ho 2.808 4.543 6.125
Ho 0.000 8.979 3.356
Ho 0.000 4.008 2.408
Ho 2.808 -0.428 5.177
Ho 0.000 2.315 5.605
```

Calculated values
* E_tot: -4.410 eV/atom
* formation energy from the elements: 0.210 eV per atom
* total magnetic moment: 0.00 μB/cell